<a>
Entry from the Alexandria database: crystalline YCrTe2 at its relaxed geometry (PBE-GGA).

Density of states at the Fermi level in states/eV per atom: 0.38

Cell: 5.295 5.295 5.295 Å, 60.00 60.00 60.00°
Fractional coordinates of all 4 atoms:
Y: 0.000 0.000 0.000
Cr: 0.750 0.750 0.750
Te: 0.250 0.250 0.250
Te: 0.500 0.500 0.500

***

<b>
Entry from the Alexandria database: crystalline YCrTe2 at its relaxed geometry (PBE-GGA).

Density of states at the Fermi level in states/eV per atom: 0.00

Cell: 8.311 8.311 8.311 Å, 133.94 133.94 67.19°
Fractional coordinates of all 8 atoms:
Y: 0.000 0.000 0.000
Y: 0.750 0.250 0.500
Cr: 0.250 0.750 0.500
Cr: 0.500 0.500 0.000
Te: 0.150 0.625 0.025
Te: 0.375 0.400 0.525
Te: 0.600 0.125 0.975
Te: 0.875 0.850 0.475

***

<c>
Entry from the Alexandria database: crystalline YCrTe2 at its relaxed geometry (PBE-GGA).

Density of states at the Fermi level in states/eV per atom: 0.36

Cell: 6.515 6.515 6.515 Å, 141.85 141.85 55.06°
Fractional coordinates of all 4 atoms:
Y: 0.000 0.000 0.000
Cr: 0.250 0.750 0.500
Te: 0.500 0.500 0.000
Te: 0.750 0.250 0.500

***

Relative energy of each structure, in meV per atom: <a> 482; <b> 0; <c> 70.

***

<a>
Entry from the Alexandria database: crystalline YCrTe2 at its relaxed geometry (PBE-GGA).

Density of states at the Fermi level in states/eV per atom: 0.88

Cell: 4.331 4.331 7.239 Å, 107.47 107.47 60.02°
Fractional coordinates of all 4 atoms:
Y: 0.000 0.000 0.000
Cr: 0.500 0.500 0.500
Te: 0.243 0.243 0.730
Te: 0.757 0.757 0.270

***

<b>
Entry from the Alexandria database: crystalline YCrTe2 at its relaxed geometry (PBE-GGA).

Density of states at the Fermi level in states/eV per atom: 0.61

Cell: 3.929 3.813 7.476 Å, 90.00 104.41 90.00°
Fractional coordinates of all 4 atoms:
Y: 0.000 0.000 0.000
Cr: 0.500 0.000 0.500
Te: 0.408 0.500 0.754
Te: 0.592 0.500 0.246

***

Relative energy of each structure, in meV per atom: <a> 0; <b> 109.

***

<a>
Entry from the Alexandria database: crystalline YCrTe2 at its relaxed geometry (PBE-GGA).

Density of states at the Fermi level in states/eV per atom: 0.42

Cell: 7.999 7.999 7.999 Å, 32.74 32.74 32.74°
Fractional coordinates of all 4 atoms:
Y: 0.000 0.000 0.000
Cr: 0.241 0.241 0.241
Te: 0.559 0.559 0.559
Te: 0.737 0.737 0.737

***

<b>
Entry from the Alexandria database: crystalline YCrTe2 at its relaxed geometry (PBE-GGA).

Density of states at the Fermi level in states/eV per atom: 0.62

Cell: 3.736 3.736 7.348 Å, 90.00 90.00 90.00°
Fractional coordinates of all 4 atoms:
Y: 0.000 0.000 0.000
Cr: 0.000 0.000 0.500
Te: 0.500 0.500 0.254
Te: 0.500 0.500 0.746

***

Relative energy of each structure, in meV per atom: <a> 0; <b> 39.

***

<a>
Entry from the Alexandria database: crystalline YCrTe2 at its relaxed geometry (PBE-GGA).

Density of states at the Fermi level in states/eV per atom: 0.49

Cell: 9.396 9.396 9.396 Å, 24.10 24.10 24.10°
Fractional coordinates of all 4 atoms:
Y: 0.000 0.000 0.000
Cr: 0.500 0.500 0.500
Te: 0.111 0.111 0.111
Te: 0.889 0.889 0.889

***

<b>
Entry from the Alexandria database: crystalline YCrTe2 at its relaxed geometry (PBE-GGA).

Density of states at the Fermi level in states/eV per atom: 0.46

Cell: 5.147 5.147 3.774 Å, 90.00 90.00 90.00°
Fractional coordinates of all 4 atoms:
Y: 0.000 0.000 0.000
Cr: 0.500 0.500 0.000
Te: 0.000 0.500 0.500
Te: 0.500 0.000 0.500

***

Relative energy of each structure, in meV per atom: <a> 269; <b> 0.

***

<a>
Entry from the Alexandria database: crystalline Y2Cr2Te at its relaxed geometry (PBE-GGA).

Density of states at the Fermi level in states/eV per atom: 0.78

Cell: 7.271 7.271 4.152 Å, 90.00 90.00 90.00°
Fractional coordinates of all 10 atoms:
Y: 0.184 0.316 0.000
Y: 0.316 0.816 0.000
Y: 0.684 0.184 0.000
Y: 0.816 0.684 0.000
Cr: 0.093 0.593 0.500
Cr: 0.407 0.093 0.500
Cr: 0.593 0.907 0.500
Cr: 0.907 0.407 0.500
Te: 0.000 0.000 0.500
Te: 0.500 0.500 0.500

***

<b>
Entry from the Alexandria database: crystalline Y2Cr2Te at its relaxed geometry (PBE-GGA).

Density of states at the Fermi level in states/eV per atom: 1.03

Cell: 5.607 5.607 5.607 Å, 119.21 119.21 91.37°
Fractional coordinates of all 5 atoms:
Y: 0.250 0.750 0.500
Y: 0.750 0.250 0.500
Cr: 0.160 0.160 0.000
Cr: 0.840 0.840 0.000
Te: 0.500 0.500 0.000

***

Relative energy of each structure, in meV per atom: <a> 0; <b> 467.

***

<a>
Entry from the Alexandria database: crystalline Y2CrTe at its relaxed geometry (PBE-GGA).

Density of states at the Fermi level in states/eV per atom: 0.93

Cell: 6.641 6.641 6.641 Å, 104.80 104.80 119.28°
Fractional coordinates of all 8 atoms:
Y: 0.116 0.125 0.491
Y: 0.375 0.884 0.009
Y: 0.634 0.625 0.509
Y: 0.875 0.366 0.991
Cr: 0.000 0.000 0.000
Cr: 0.750 0.250 0.500
Te: 0.250 0.750 0.500
Te: 0.500 0.500 0.000

***

<b>
Entry from the Alexandria database: crystalline Y2CrTe at its relaxed geometry (PBE-GGA).

Density of states at the Fermi level in states/eV per atom: 0.66

Cell: 8.383 8.383 8.383 Å, 27.47 27.47 27.47°
Fractional coordinates of all 4 atoms:
Y: 0.247 0.247 0.247
Y: 0.753 0.753 0.753
Cr: 0.500 0.500 0.500
Te: 0.000 0.000 0.000

***

<c>
Entry from the Alexandria database: crystalline Y2CrTe at its relaxed geometry (PBE-GGA).

Density of states at the Fermi level in states/eV per atom: 0.87

Cell: 6.211 6.211 6.211 Å, 138.99 138.99 59.40°
Fractional coordinates of all 4 atoms:
Y: 0.000 0.000 0.000
Y: 0.750 0.250 0.500
Cr: 0.250 0.750 0.500
Te: 0.500 0.500 0.000

***

Relative energy of each structure, in meV per atom: <a> 259; <b> 0; <c> 36.

***

<a>
Entry from the Alexandria database: crystalline Y2CrTe at its relaxed geometry (PBE-GGA).

Density of states at the Fermi level in states/eV per atom: 0.66

Cell: 3.800 3.800 7.054 Å, 90.00 90.00 90.00°
Fractional coordinates of all 4 atoms:
Y: 0.000 0.000 0.242
Y: 0.000 0.000 0.758
Cr: 0.500 0.500 0.000
Te: 0.500 0.500 0.500

***

<b>
Entry from the Alexandria database: crystalline Y2CrTe at its relaxed geometry (PBE-GGA).

Density of states at the Fermi level in states/eV per atom: 1.07

Cell: 5.094 5.094 5.094 Å, 60.00 60.00 60.00°
Fractional coordinates of all 4 atoms:
Y: 0.250 0.250 0.250
Y: 0.750 0.750 0.750
Cr: 0.000 0.000 0.000
Te: 0.500 0.500 0.500

***

<c>
Entry from the Alexandria database: crystalline Y2CrTe at its relaxed geometry (PBE-GGA).

Density of states at the Fermi level in states/eV per atom: 0.68

Cell: 6.126 6.126 6.126 Å, 44.69 44.69 44.69°
Fractional coordinates of all 4 atoms:
Y: 0.000 0.000 0.000
Y: 0.202 0.202 0.202
Cr: 0.419 0.419 0.419
Te: 0.782 0.782 0.782

***

Relative energy of each structure, in meV per atom: <a> 0; <b> 468; <c> 264.

***

<a>
Entry from the Alexandria database: crystalline Y2CrTe at its relaxed geometry (PBE-GGA).

Density of states at the Fermi level in states/eV per atom: 0.61

Cell: 4.451 6.054 6.054 Å, 38.68 90.00 90.00°
Fractional coordinates of all 4 atoms:
Y: 0.000 0.000 0.000
Y: 0.500 0.298 0.298
Cr: 0.500 0.564 0.564
Te: 0.000 0.718 0.718

***

<b>
Entry from the Alexandria database: crystalline Y2CrTe at its relaxed geometry (PBE-GGA).

Density of states at the Fermi level in states/eV per atom: 0.81

Cell: 4.181 4.181 6.306 Å, 90.00 90.00 90.00°
Fractional coordinates of all 4 atoms:
Y: 0.000 0.000 0.000
Y: 0.500 0.500 0.335
Cr: 0.000 0.000 0.491
Te: 0.500 0.500 0.830

***

<c>
Entry from the Alexandria database: crystalline Y2CrTe at its relaxed geometry (PBE-GGA).

Density of states at the Fermi level in states/eV per atom: 0.93

Cell: 5.596 5.596 5.596 Å, 129.42 129.42 74.33°
Fractional coordinates of all 4 atoms:
Y: 0.250 0.750 0.500
Y: 0.750 0.250 0.500
Cr: 0.000 0.000 0.000
Te: 0.500 0.500 0.000

***

Relative energy of each structure, in meV per atom: <a> 0; <b> 233; <c> 259.

***

<a>
Entry from the Alexandria database: crystalline YCr3Te at its relaxed geometry (PBE-GGA).

Density of states at the Fermi level in states/eV per atom: 1.69

Cell: 5.049 5.049 5.049 Å, 90.00 90.00 90.00°
Fractional coordinates of all 5 atoms:
Y: 0.000 0.000 0.000
Cr: 0.000 0.500 0.500
Cr: 0.500 0.000 0.500
Cr: 0.500 0.500 0.000
Te: 0.500 0.500 0.500

***

<b>
Entry from the Alexandria database: crystalline YCr3Te at its relaxed geometry (PBE-GGA).

Density of states at the Fermi level in states/eV per atom: 1.14

Cell: 5.038 5.038 5.038 Å, 90.00 90.00 90.00°
Fractional coordinates of all 5 atoms:
Y: 0.000 0.000 0.000
Cr: 0.000 0.000 0.500
Cr: 0.000 0.500 0.000
Cr: 0.500 0.000 0.000
Te: 0.500 0.500 0.500

***

Relative energy of each structure, in meV per atom: <a> 0; <b> 820.

***

<a>
Entry from the Alexandria database: crystalline YCrTe3 at its relaxed geometry (PBE-GGA).

Density of states at the Fermi level in states/eV per atom: 1.14

Cell: 5.800 5.800 5.800 Å, 90.00 90.00 90.00°
Fractional coordinates of all 5 atoms:
Y: 0.000 0.000 0.000
Cr: 0.500 0.500 0.500
Te: 0.000 0.000 0.500
Te: 0.000 0.500 0.000
Te: 0.500 0.000 0.000

***

<b>
Entry from the Alexandria database: crystalline YCrTe3 at its relaxed geometry (PBE-GGA).

Density of states at the Fermi level in states/eV per atom: 0.42

Cell: 5.240 5.240 5.240 Å, 90.00 90.00 90.00°
Fractional coordinates of all 5 atoms:
Y: 0.000 0.000 0.000
Cr: 0.500 0.500 0.500
Te: 0.000 0.500 0.500
Te: 0.500 0.000 0.500
Te: 0.500 0.500 0.000

***

Relative energy of each structure, in meV per atom: <a> 404; <b> 0.

***

<a>
Entry from the Alexandria database: crystalline ZnCr2Te at its relaxed geometry (PBE-GGA).

Density of states at the Fermi level in states/eV per atom: 0.72

Cell: 4.762 4.762 4.762 Å, 128.37 128.09 76.26°
Fractional coordinates of all 4 atoms:
Zn: 0.000 0.000 0.000
Cr: 0.250 0.750 0.500
Cr: 0.750 0.250 0.500
Te: 0.500 0.500 0.000

***

<b>
Entry from the Alexandria database: crystalline ZnCr2Te at its relaxed geometry (PBE-GGA).

Density of states at the Fermi level in states/eV per atom: 0.71

Cell: 4.243 4.243 3.651 Å, 90.00 90.00 90.00°
Fractional coordinates of all 4 atoms:
Zn: 0.000 0.000 0.000
Cr: 0.000 0.500 0.500
Cr: 0.500 0.000 0.500
Te: 0.500 0.500 0.000

***

<c>
Entry from the Alexandria database: crystalline ZnCr2Te at its relaxed geometry (PBE-GGA).

Density of states at the Fermi level in states/eV per atom: 0.77

Cell: 4.126 3.696 5.154 Å, 90.00 108.31 90.00°
Fractional coordinates of all 4 atoms:
Zn: 0.000 0.000 0.000
Cr: 0.500 0.000 0.500
Cr: 0.500 0.500 0.000
Te: 0.000 0.500 0.500

***

<d>
Entry from the Alexandria database: crystalline ZnCr2Te at its relaxed geometry (PBE-GGA).

Density of states at the Fermi level in states/eV per atom: 0.77

Cell: 3.644 3.644 5.518 Å, 90.00 90.00 90.00°
Fractional coordinates of all 4 atoms:
Zn: 0.000 0.000 0.000
Cr: 0.000 0.000 0.468
Cr: 0.500 0.500 0.159
Te: 0.500 0.500 0.653

***

Relative energy of each structure, in meV per atom: <a> 47; <b> 40; <c> 56; <d> 0.